--- i ---
## CaCdPO2 (PBE)

Data for a relaxed CaCdPO2 crystal.

abc: 4.3080 4.3080 4.9380
angles: 90.00 90.00 90.00
With the nearest neighbours (Å) after each atom.
Fractional positions:
Ca 0.0000 0.0000 0.0000  4 P 3.05, 8 O 3.28
Cd 0.5000 0.5000 0.5000  4 O 2.15
P 0.5000 0.5000 0.0000  2 Cd 2.47
O 0.0000 0.5000 0.5000  2 Cd 2.15
O 0.5000 0.0000 0.5000  2 Cd 2.15

Summary:
Space group: P4/mmm (123)
Magnetic moment in μB/atom: 0.3388

=====

--- ii ---
## CaCdPO2 (PBE)

Data for a relaxed CaCdPO2 crystal.

abc: 4.2764 4.2764 5.9655
angles: 90.00 90.00 90.00
With the nearest neighbours (Å) after each atom.
Fractional positions:
Ca 0.0000 0.0000 0.0000  4 O 2.14
Cd 0.5000 0.5000 0.5000  4 P 3.02
P 0.0000 0.0000 0.5000  2 Ca 2.98, 4 Cd 3.02
O 0.0000 0.5000 0.0000  2 Ca 2.14
O 0.5000 0.0000 0.0000  2 Ca 2.14

Summary:
Space group: P4/mmm (123)
Magnetic moment in μB/atom: 0.5874

=====

Most stable pick: i. Distance to second place: 0.145 eV/atom.